The following is a DFT calculation (PBE-GGA) of a relaxed NdDySi3 crystal.

Results
DOS(E_F) = 6.7 states/eV/cell
formation energy (no corrections) = -705 meV per atom
crystal system = orthorhombic

Lattice parameters (Å, degrees): 4.258 24.683 3.970 90.00 90.00 90.00
Space group Cmcm (No. 63)
Unique sites:
Nd (0.000, 0.070, 0.250) (multiplicity 4)
Dy (0.000, 0.203, 0.750) (multiplicity 4)
Si (0.000, 0.321, 0.750) (multiplicity 4)
Si (0.000, 0.379, 0.250) (multiplicity 4)
Si (0.000, 0.475, 0.250) (multiplicity 4)